No. 1
# CrNi6Pd | the Alexandria database | PBE | optimized geometry
data_CrNi6Pd
_symmetry_space_group_name_H-M 'P 4/m m m'
_symmetry_Int_Tables_number 123
_symmetry_space_group_name_Hall '-P 4 2'
_cell_length_a 3.587
_cell_length_b 3.587
_cell_length_c 7.182
_cell_angle_alpha 90.00
_cell_angle_beta 90.00
_cell_angle_gamma 90.00
loop_
_atom_site_label
_atom_site_type_symbol
_atom_site_fract_x
_atom_site_fract_y
_atom_site_fract_z
_atom_site_occupancy
Cr1 Cr 0.000 0.000 0.000 1
Ni1 Ni 0.000 0.500 0.237 1
Ni2 Ni 0.500 0.500 0.000 1
Ni3 Ni 0.500 0.500 0.500 1
Pd1 Pd 0.000 0.000 0.500 1
# Total energy   -6.172 eV per atom

No. 2
# CaPrNdTh | the Alexandria database | PBE | optimized geometry
data_CaPrNdTh
_symmetry_space_group_name_H-M 'F -4 3 m'
_symmetry_Int_Tables_number 216
_symmetry_space_group_name_Hall 'F -4 2 3'
_cell_length_a 8.272
_cell_length_b 8.272
_cell_length_c 8.272
_cell_angle_alpha 90.00
_cell_angle_beta 90.00
_cell_angle_gamma 90.00
loop_
_atom_site_label
_atom_site_type_symbol
_atom_site_fract_x
_atom_site_fract_y
_atom_site_fract_z
_atom_site_occupancy
Ca1 Ca 0.000 0.000 0.000 1
Pr1 Pr 0.250 0.250 0.750 1
Nd1 Nd 0.250 0.250 0.250 1
Th1 Th 0.000 0.000 0.500 1
# Total energy   -4.527 eV per atom

No. 3
# AcYNi2P2 | the Alexandria database | PBE | optimized geometry
data_AcYNi2P2
_symmetry_space_group_name_H-M 'P -3 m 1'
_symmetry_Int_Tables_number 164
_symmetry_space_group_name_Hall '-P 3 2"'
_cell_length_a 3.9857
_cell_length_b 3.9857
_cell_length_c 8.2117
_cell_angle_alpha 90.00
_cell_angle_beta 90.00
_cell_angle_gamma 120.00
loop_
_atom_site_label
_atom_site_type_symbol
_atom_site_fract_x
_atom_site_fract_y
_atom_site_fract_z
_atom_site_occupancy
Ac1 Ac 0.0000 0.0000 0.0000 1
Y1 Y 0.0000 0.0000 0.5000 1
Ni1 Ni 0.3333 0.6667 0.7350 1
P1 P 0.3333 0.6667 0.2737 1
# Total energy   -6.625 eV per atom

No. 4
# U2GeTe4 | the Alexandria database | PBE | optimized geometry
data_U2GeTe4
_symmetry_space_group_name_H-M 'C m m m'
_symmetry_Int_Tables_number 65
_symmetry_space_group_name_Hall '-C 2 2'
_cell_length_a 8.088
_cell_length_b 9.670
_cell_length_c 4.924
_cell_angle_alpha 90.00
_cell_angle_beta 90.00
_cell_angle_gamma 90.00
loop_
_atom_site_label
_atom_site_type_symbol
_atom_site_fract_x
_atom_site_fract_y
_atom_site_fract_z
_atom_site_occupancy
U1 U 0.000 0.212 0.000 1
Ge1 Ge 0.000 0.000 0.500 1
Te1 Te 0.206 0.500 0.000 1
Te2 Te 0.250 0.250 0.500 1
# Energy relative to the elements, uncorrected   -302 meV/atom

No. 5
# BaAlPt | the Alexandria database | PBE | optimized geometry
data_BaAlPt
_symmetry_space_group_name_H-M 'F -4 3 m'
_symmetry_Int_Tables_number 216
_symmetry_space_group_name_Hall 'F -4 2 3'
_cell_length_a 7.322
_cell_length_b 7.322
_cell_length_c 7.322
_cell_angle_alpha 90.00
_cell_angle_beta 90.00
_cell_angle_gamma 90.00
loop_
_atom_site_label
_atom_site_type_symbol
_atom_site_fract_x
_atom_site_fract_y
_atom_site_fract_z
_atom_site_occupancy
Ba1 Ba 0.000 0.000 0.000 1
Al1 Al 0.250 0.250 0.250 1
Pt1 Pt 0.250 0.250 0.750 1
# Total energy   -3.480 eV per atom

No. 6
# KTi2Au | the Alexandria database | PBE | optimized geometry
data_KTi2Au
_symmetry_space_group_name_H-M 'I -4 2 d'
_symmetry_Int_Tables_number 122
_symmetry_space_group_name_Hall 'I -4 2bw'
_cell_length_a 4.634
_cell_length_b 4.634
_cell_length_c 20.329
_cell_angle_alpha 90.00
_cell_angle_beta 90.00
_cell_angle_gamma 90.00
loop_
_atom_site_label
_atom_site_type_symbol
_atom_site_fract_x
_atom_site_fract_y
_atom_site_fract_z
_atom_site_occupancy
K1 K 0.000 0.000 0.000 1
Ti1 Ti 0.042 0.250 0.625 1
Au1 Au 0.000 0.000 0.500 1
# Distance to the lowest polymorph of the same formula   0.067 eV/atom

No. 7
# Tb2TmAl6 | the Alexandria database | PBE | optimized geometry
data_Tb2TmAl6
_symmetry_space_group_name_H-M 'P 6/m m m'
_symmetry_Int_Tables_number 191
_symmetry_space_group_name_Hall '-P 6 2'
_cell_length_a 7.9061
_cell_length_b 7.9061
_cell_length_c 3.4658
_cell_angle_alpha 90.00
_cell_angle_beta 90.00
_cell_angle_gamma 120.00
loop_
_atom_site_label
_atom_site_type_symbol
_atom_site_fract_x
_atom_site_fract_y
_atom_site_fract_z
_atom_site_occupancy
Tb1 Tb 0.3333 0.6667 0.0000 1
Tm1 Tm 0.0000 0.0000 0.0000 1
Al1 Al 0.0000 0.3323 0.5000 1
# Distance to the lowest polymorph of the same formula   0.000 eV/atom

No. 8
# Er4GaRh2 | the Alexandria database | PBE | optimized geometry
data_Er4GaRh2
_symmetry_space_group_name_H-M 'P 1'
_symmetry_Int_Tables_number 1
_cell_length_a 7.015
_cell_length_b 7.078
_cell_length_c 7.456
_cell_angle_alpha 106.03
_cell_angle_beta 107.02
_cell_angle_gamma 104.53
loop_
_symmetry_equiv_pos_as_xyz
'x,y,z'
loop_
_atom_site_label
_atom_site_type_symbol
_atom_site_fract_x
_atom_site_fract_y
_atom_site_fract_z
_atom_site_occupancy
Er1 Er 0.000 0.000 0.000 1
Er2 Er 0.029 0.179 0.586 1
Er3 Er 0.274 0.540 0.338 1
Er4 Er 0.401 0.959 0.810 1
Er5 Er 0.455 0.124 0.401 1
Er6 Er 0.631 0.761 0.172 1
Er7 Er 0.826 0.419 0.924 1
Er8 Er 0.869 0.620 0.542 1
Ga1 Ga 0.449 0.507 0.734 1
Ga2 Ga 0.758 0.228 0.209 1
Rh1 Rh 0.063 0.812 0.299 1
Rh2 Rh 0.188 0.646 0.908 1
Rh3 Rh 0.398 0.330 0.047 1
Rh4 Rh 0.671 0.914 0.614 1
# Distance to the lowest polymorph of the same formula   0.000 eV/atom

No. 9
# BeSn3Sb | the Alexandria database | PBE | optimized geometry
data_BeSn3Sb
_symmetry_space_group_name_H-M 'P m -3 m'
_symmetry_Int_Tables_number 221
_symmetry_space_group_name_Hall '-P 4 2 3'
_cell_length_a 5.753
_cell_length_b 5.753
_cell_length_c 5.753
_cell_angle_alpha 90.00
_cell_angle_beta 90.00
_cell_angle_gamma 90.00
loop_
_atom_site_label
_atom_site_type_symbol
_atom_site_fract_x
_atom_site_fract_y
_atom_site_fract_z
_atom_site_occupancy
Be1 Be 0.000 0.000 0.000 1
Sn1 Sn 0.000 0.500 0.500 1
Sb1 Sb 0.500 0.500 0.500 1
# Energy relative to the elements, uncorrected   1207 meV/atom
# Distance to the lowest polymorph of the same formula   0.932 eV/atom

No. 10
# Sm4TlAgO | the Alexandria database | PBE | optimized geometry
data_Sm4TlAgO
_symmetry_space_group_name_H-M 'C m c m'
_symmetry_Int_Tables_number 63
_symmetry_space_group_name_Hall '-C 2c 2'
_cell_length_a 6.850
_cell_length_b 15.616
_cell_length_c 6.862
_cell_angle_alpha 90.00
_cell_angle_beta 90.00
_cell_angle_gamma 90.00
loop_
_atom_site_label
_atom_site_type_symbol
_atom_site_fract_x
_atom_site_fract_y
_atom_site_fract_z
_atom_site_occupancy
Sm1 Sm 0.000 0.065 0.250 1
Sm2 Sm 0.000 0.421 0.250 1
Sm3 Sm 0.250 0.250 0.000 1
Tl1 Tl 0.000 0.384 0.750 1
Ag1 Ag 0.000 0.121 0.750 1
O1 O 0.000 0.256 0.250 1
# Energy relative to the elements, uncorrected   -948 meV/atom

No. 11
# TaSiTc2 | the Alexandria database | PBE | optimized geometry
data_TaSiTc2
_symmetry_space_group_name_H-M 'C 1 2/m 1'
_symmetry_Int_Tables_number 12
_cell_length_a 8.954
_cell_length_b 3.119
_cell_length_c 4.697
_cell_angle_alpha 90.00
_cell_angle_beta 113.77
_cell_angle_gamma 90.00
loop_
_symmetry_equiv_pos_as_xyz
'x,y,z'
'-x,-y,-z'
'-x,y,-z'
'x,-y,z'
'x+1/2,y+1/2,z'
'-x+1/2,-y+1/2,-z'
'-x+1/2,y+1/2,-z'
'x+1/2,-y+1/2,z'
loop_
_atom_site_label
_atom_site_type_symbol
_atom_site_fract_x
_atom_site_fract_y
_atom_site_fract_z
_atom_site_occupancy
Ta1 Ta 0.000 0.000 0.000 1
Si1 Si 0.000 0.500 0.500 1
Tc1 Tc 0.234 0.000 0.723 1
# Energy relative to the elements, uncorrected   -265 meV/atom

No. 12
# InAs2SeCl | the Alexandria database | PBE | optimized geometry
data_InAs2SeCl
_symmetry_space_group_name_H-M 'P 4/m m m'
_symmetry_Int_Tables_number 123
_symmetry_space_group_name_Hall '-P 4 2'
_cell_length_a 5.386
_cell_length_b 5.386
_cell_length_c 5.214
_cell_angle_alpha 90.00
_cell_angle_beta 90.00
_cell_angle_gamma 90.00
loop_
_atom_site_label
_atom_site_type_symbol
_atom_site_fract_x
_atom_site_fract_y
_atom_site_fract_z
_atom_site_occupancy
In1 In 0.000 0.000 0.000 1
As1 As 0.000 0.500 0.000 1
Se1 Se 0.000 0.000 0.500 1
Cl1 Cl 0.500 0.500 0.500 1
# Energy relative to the elements, uncorrected   766 meV/atom
# Distance to the lowest polymorph of the same formula   0.000 eV/atom